1.
The following is a PBE-GGA calculation of crystalline Ce6ErN8 at its relaxed geometry, from Alexandria via LeMat-Bulk.

Computed properties:
M_tot	8.05	μB per cell
formation energy (no corrections)	-1.31	eV per atom
E_tot	-8.43	eV/atom
DOS(E_F)	1.00	states/eV/atom
mass density	7.48	Mg/m³

```
data_Ce6ErN8
_chemical_formula_sum 'Ce24 Er4 N32'
_cell_length_a 9.982
_cell_length_b 9.982
_cell_length_c 9.982
_cell_angle_alpha 90.00
_cell_angle_beta 90.00
_cell_angle_gamma 90.00
_symmetry_space_group_name_H-M 'F m -3 m'
_symmetry_Int_Tables_number 225
_symmetry_space_group_name_Hall '-F 4 2 3'
loop_
_atom_site_label
_atom_site_type_symbol
_atom_site_fract_x
_atom_site_fract_y
_atom_site_fract_z
Ce1 Ce 0.000 0.250 0.250
Er1 Er 0.000 0.000 0.000
N1 N 0.000 0.000 0.234
N2 N 0.250 0.250 0.250
```

=====

2.
The following is a PBE-GGA calculation of crystalline Ce2Er3N4 at its relaxed geometry, from Alexandria via LeMat-Bulk.

Computed properties:
M_tot	0.85	μB per cell
formation energy (no corrections)	-1.43	eV per atom
E_tot	-7.97	eV/atom
DOS(E_F)	0.91	states/eV/atom
mass density	9.24	Mg/m³

```
data_Ce2Er3N4
_chemical_formula_sum 'Ce4 Er6 N8'
_cell_length_a 11.509
_cell_length_b 3.439
_cell_length_c 8.653
_cell_angle_alpha 90.00
_cell_angle_beta 118.43
_cell_angle_gamma 90.00
_symmetry_space_group_name_H-M 'C 1 2/m 1'
_symmetry_Int_Tables_number 12
_symmetry_space_group_name_Hall '-C 2y'
loop_
_atom_site_label
_atom_site_type_symbol
_atom_site_fract_x
_atom_site_fract_y
_atom_site_fract_z
Ce1 Ce 0.103 0.000 0.391
Er1 Er 0.000 0.500 0.000
Er2 Er 0.209 0.500 0.817
N1 N 0.103 0.000 0.904
N2 N 0.194 0.500 0.288
```

=====

3.
The following is a PBE-GGA calculation of crystalline CeErN2 at its relaxed geometry, from Alexandria via LeMat-Bulk.

Computed properties:
M_tot	2.32	μB per cell
formation energy (no corrections)	-1.42	eV per atom
E_tot	-8.21	eV/atom
DOS(E_F)	0.72	states/eV/atom
mass density	9.18	Mg/m³

```
data_CeErN2
_chemical_formula_sum 'Ce3 Er3 N6'
_cell_length_a 3.4208
_cell_length_b 3.4208
_cell_length_c 17.9656
_cell_angle_alpha 90.00
_cell_angle_beta 90.00
_cell_angle_gamma 120.00
_symmetry_space_group_name_H-M 'R 3 m'
_symmetry_Int_Tables_number 160
_symmetry_space_group_name_Hall 'R 3 -2"'
loop_
_atom_site_label
_atom_site_type_symbol
_atom_site_fract_x
_atom_site_fract_y
_atom_site_fract_z
Ce1 Ce 0.0000 0.0000 0.0000
Er1 Er 0.0000 0.0000 0.8282
N1 N 0.0000 0.0000 0.2461
N2 N 0.0000 0.0000 0.4206
```

=====

4.
The following is a PBE-GGA calculation of crystalline Ce3ErN4 at its relaxed geometry, from Alexandria via LeMat-Bulk.

Computed properties:
M_tot	1.10	μB per cell
formation energy (no corrections)	-1.55	eV per atom
E_tot	-8.51	eV/atom
DOS(E_F)	0.94	states/eV/atom
mass density	8.56	Mg/m³

```
data_Ce3ErN4
_chemical_formula_sum 'Ce6 Er2 N8'
_cell_length_a 6.122
_cell_length_b 7.075
_cell_length_c 6.113
_cell_angle_alpha 90.00
_cell_angle_beta 109.49
_cell_angle_gamma 90.00
_symmetry_space_group_name_H-M 'P 1 2/c 1'
_symmetry_Int_Tables_number 13
_symmetry_space_group_name_Hall '-P 2yc'
loop_
_atom_site_label
_atom_site_type_symbol
_atom_site_fract_x
_atom_site_fract_y
_atom_site_fract_z
Ce1 Ce 0.000 0.124 0.250
Ce2 Ce 0.000 0.374 0.750
Ce3 Ce 0.500 0.373 0.250
Er1 Er 0.500 0.124 0.750
N1 N 0.255 0.122 0.000
N2 N 0.255 0.370 0.504
```